VASP calculation (meta-GGA SCAN) on a crystal of HgPNF2 relaxed with PBEsol.

a b c (Å): 4.239 4.363 4.363
angles (deg): 90.00 90.00 90.00
Last column: magnetic moment on the atom in μB.
Element x y z (fractional)
P1 0.500 0.500 0.500  0.99
N1 0.500 0.000 0.000  -1.11
Hg1 0.000 0.000 0.000  -0.08
F1 0.000 0.000 0.500  0.04
F2 0.000 0.500 0.000  0.04

Output
E_tot ... -18.3396 eV/atom
Space group ... No. 123
Formation energy (no corrections) ... 0.65 eV/atom
M_tot ... 0.6 μB/f.u.
DOS at the Fermi energy ... 2.96 states/eV per cell

VASP calculation (meta-GGA SCAN) on a crystal of BeMo2Rh relaxed with PBEsol.

a b c (Å): 3.074 3.074 5.654
angles (deg): 90.00 90.00 90.00
Element x y z (fractional)
Be1 0.500 0.500 0.741
Mo1 0.000 0.000 0.990
Mo2 0.500 0.500 0.232
Rh1 0.000 0.000 0.537

Output
E_tot ... -27.0762 eV/atom
Space group ... No. 99
M_tot ... 0.0 μB/f.u.
Calculated formation energy ... -102 meV per atom
DOS at the Fermi energy ... 3.04 states/eV per cell

VASP calculation (meta-GGA SCAN) on a crystal of Tl2CrW relaxed with PBEsol.

a b c (Å): 4.138 4.213 4.213
angles (deg): 90.00 90.00 90.00
Last column: magnetic moment on the atom in μB.
Element x y z (fractional)
Cr1 0.500 0.000 0.000  3.64
Tl1 0.000 0.000 0.500  -0.01
Tl2 0.000 0.500 0.000  -0.01
W1 0.500 0.500 0.500  -0.69

Output
Energy above the most stable polymorph in this dataset ... 7.33 kJ/mol of atoms
E_tot ... -57.2530 eV/atom
Space group ... No. 123
M_tot ... 3.1 μB/f.u.
Calculated formation energy ... 944 meV per atom
DOS at the Fermi energy ... 2.43 states/eV per cell